Record 1
VASP calculation (GGA+U) on AcGa3Mo4O12 after structural relaxation.

The structure in POSCAR format:
```
AcGa3Mo4O12
1.0
-3.952 3.952 3.952
3.952 -3.952 3.952
3.952 3.952 -3.952
Ac Ga Mo O
1 3 4 12
direct
0.000 0.000 0.000
0.000 0.500 0.500
0.500 0.000 0.500
0.500 0.500 0.000
0.000 0.000 0.500
0.000 0.500 0.000
0.500 0.000 0.000
0.500 0.500 0.500
0.153 0.318 0.834
0.166 0.484 0.318
0.166 0.847 0.682
0.318 0.166 0.484
0.318 0.834 0.153
0.484 0.318 0.166
0.516 0.682 0.834
0.682 0.166 0.847
0.682 0.834 0.516
0.834 0.153 0.318
0.834 0.516 0.682
0.847 0.682 0.166
```

Results
As for the density: 6.8 Mg/m³. The value obtained for the total energy is -0.507 Ry per atom.

***

Record 2
VASP calculation (GGA+U) on Ac3Ga2MoO9 after structural relaxation.

The structure in POSCAR format:
```
Ac3Ga2MoO9
1.0
5.697 0.000 0.000
-2.849 4.934 0.000
0.000 0.000 7.045
Ac Ga Mo O
3 2 1 9
direct
0.000 0.000 0.000
0.333 0.667 0.677
0.667 0.333 0.323
0.333 0.667 0.163
0.667 0.333 0.837
0.000 0.000 0.500
0.000 0.500 0.000
0.171 0.342 0.322
0.171 0.829 0.322
0.342 0.171 0.678
0.500 0.000 0.000
0.500 0.500 0.000
0.658 0.829 0.322
0.829 0.171 0.678
0.829 0.658 0.678
```

Results
As for the density: 8.9 Mg/m³. The value obtained for the total energy is -0.533 Ry per atom.

***

Record 3
VASP calculation (GGA+U) on Ac2GaMoO6 after structural relaxation.

The structure in POSCAR format:
```
Ac2GaMoO6
1.0
5.733 0.000 0.000
0.000 5.733 0.000
0.000 0.000 4.124
Ac Ga Mo O
2 1 1 6
direct
0.000 0.500 0.000
0.500 0.000 0.000
0.000 0.000 0.500
0.500 0.500 0.500
0.000 0.000 0.000
0.241 0.241 0.500
0.241 0.759 0.500
0.500 0.500 0.000
0.759 0.241 0.500
0.759 0.759 0.500
```

Results
As for the density: 8.8 Mg/m³. The value obtained for the total energy is -0.539 Ry per atom.